(1)
Below is Sm3AsS6 after structural relaxation, with properties calculated at the PBE level.

Results
M_tot in μB per formula unit: 0.00
Raw formation energy in meV/atom: -1551

abc: 7.0238 8.5951 8.5951
angles: 102.34 90.00 90.00
Last column: nearest neighbours and their distance in Å.
Element x y z (fractional)
Sm (0.4765, 0.9150, 0.7131)  6 S 2.77-2.94
Sm (0.9765, 0.7131, 0.9150)  6 S 2.77-2.94
Sm (0.4041, 0.3995, 0.6005)  7 S 2.81-2.97
Sm (0.9041, 0.6005, 0.3995)  7 S 2.81-2.97
Sm (0.9765, 0.0850, 0.2869)  6 S 2.77-2.94
Sm (0.4765, 0.2869, 0.0850)  6 S 2.77-2.94
As (0.0390, 0.1830, 0.8170)  3 S 2.30-2.42
As (0.5390, 0.8170, 0.1830)  3 S 2.30-2.42
S (0.1895, 0.6861, 0.6399)  4 Sm 2.77-2.86
S (0.6895, 0.6399, 0.6861)  4 Sm 2.77-2.86
S (0.1909, 0.4227, 0.9029)  1 As 2.30
S (0.6909, 0.9029, 0.4227)  1 As 2.30
S (0.2100, 0.0261, 0.9739)  1 As 2.42
S (0.6185, 0.2223, 0.7777)  3 Sm 2.77-2.81, 1 As 3.00
S (0.1185, 0.7777, 0.2223)  3 Sm 2.77-2.81, 1 As 3.00
S (0.7100, 0.9739, 0.0261)  1 As 2.42
S (0.1909, 0.0971, 0.5773)  1 As 2.30
S (0.6909, 0.5773, 0.0971)  1 As 2.30
S (0.1895, 0.3601, 0.3139)  4 Sm 2.77-2.86
S (0.6895, 0.3139, 0.3601)  4 Sm 2.77-2.86


(2)
Below is Sm2AsS5 after structural relaxation, with properties calculated at the PBE level.

Results
M_tot in μB per formula unit: 0.00
Raw formation energy in meV/atom: -1129

abc: 7.1956 7.1954 5.1629
angles: 114.77 114.77 91.75
Last column: nearest neighbours and their distance in Å.
Element x y z (fractional)
Sm (0.4024, 0.8608, 0.6657)  6 S 2.77-2.90
Sm (0.8608, 0.4024, 0.6657)  6 S 2.77-2.90
As (0.9785, 0.9785, 0.9651)  4 S 2.32-2.59
S (0.7229, 0.2228, 0.9831)  1 As 2.59, 2 Sm 2.77-2.87
S (0.1561, 0.1561, 0.8013)  1 As 2.39
S (0.7215, 0.7215, 0.0110)  2 S 2.47-2.69, 1 As 2.72, 2 Sm 2.77
S (0.2228, 0.7229, 0.9831)  1 As 2.59, 2 Sm 2.77-2.87
S (0.7121, 0.7121, 0.4791)  1 As 2.32, 1 S 2.47


Number 1: calculated total energy -118.169 eV/cell. Number 2: calculated total energy -43.754 eV/cell.